Record 1
A crystal of Mg2GaRu2 relaxed with PBEsol. Source: Alexandria, functional SCAN.

Geometry as CIF:
```
data_Mg2GaRu2
_chemical_formula_sum 'Mg4 Ga2 Ru4'
_cell_length_a 4.228
_cell_length_b 6.258
_cell_length_c 6.258
_cell_angle_alpha 90.00
_cell_angle_beta 90.00
_cell_angle_gamma 90.00
_space_group_name_H-M_alt 'P 1'
_space_group_IT_number 1
_space_group_name_Hall 'P 1'
loop_
_atom_site_label
_atom_site_type_symbol
_atom_site_fract_x
_atom_site_fract_y
_atom_site_fract_z
_atom_site_occupancy
Ru1 Ru 0.000 0.365 0.865 1
Ru2 Ru 0.000 0.865 0.635 1
Ru3 Ru 0.000 0.635 0.135 1
Ru4 Ru 0.000 0.135 0.365 1
Mg1 Mg 0.500 0.168 0.668 1
Mg2 Mg 0.500 0.668 0.832 1
Mg3 Mg 0.500 0.832 0.332 1
Mg4 Mg 0.500 0.332 0.168 1
Ga1 Ga 0.000 0.000 0.000 1
Ga2 Ga 0.000 0.500 0.500 1
```

Results
- formation energy from the elements (kJ/mol of atoms) = -22.83
- size of the total moment (μB per formula unit) = 0.00

---

Record 2
A crystal of Mg2ZnGaS relaxed with PBEsol. Source: Alexandria, functional SCAN.

Geometry as CIF:
```
data_Mg2ZnGaS
_chemical_formula_sum 'Mg2 Zn1 Ga1 S1'
_cell_length_a 4.721
_cell_length_b 4.983
_cell_length_c 4.983
_cell_angle_alpha 90.00
_cell_angle_beta 90.00
_cell_angle_gamma 90.00
_space_group_name_H-M_alt 'P 1'
_space_group_IT_number 1
_space_group_name_Hall 'P 1'
loop_
_atom_site_label
_atom_site_type_symbol
_atom_site_fract_x
_atom_site_fract_y
_atom_site_fract_z
_atom_site_occupancy
Mg1 Mg 0.000 0.000 0.500 1
Mg2 Mg 0.000 0.500 0.000 1
Zn1 Zn 0.000 0.000 0.000 1
S1 S 0.500 0.000 0.000 1
Ga1 Ga 0.500 0.500 0.500 1
```

Results
- size of the total moment (μB per formula unit) = 0.00
- formation energy without anion corrections (meV per atom) = 333

---

Record 3
A crystal of Mg2GaSb2 relaxed with PBEsol. Source: Alexandria, functional SCAN.

Geometry as CIF:
```
data_Mg2GaSb2
_chemical_formula_sum 'Mg2 Ga1 Sb2'
_cell_length_a 4.601
_cell_length_b 4.601
_cell_length_c 7.166
_cell_angle_alpha 108.72
_cell_angle_beta 108.72
_cell_angle_gamma 90.00
_space_group_name_H-M_alt 'P 1'
_space_group_IT_number 1
_space_group_name_Hall 'P 1'
loop_
_atom_site_label
_atom_site_type_symbol
_atom_site_fract_x
_atom_site_fract_y
_atom_site_fract_z
_atom_site_occupancy
Sb1 Sb 0.383 0.383 0.766 1
Sb2 Sb 0.617 0.617 0.234 1
Mg1 Mg 0.250 0.750 0.500 1
Mg2 Mg 0.750 0.250 0.500 1
Ga1 Ga 0.000 0.000 0.000 1
```

Results
- size of the total moment (μB per formula unit) = 0.00
- formation energy without anion corrections (meV per atom) = -28

---

Record 4
A crystal of MgScGa relaxed with PBEsol. Source: Alexandria, functional SCAN.

Geometry as CIF:
```
data_MgScGa
_chemical_formula_sum 'Mg1 Sc1 Ga1'
_cell_length_a 4.524
_cell_length_b 4.524
_cell_length_c 4.524
_cell_angle_alpha 60.00
_cell_angle_beta 60.00
_cell_angle_gamma 60.00
_space_group_name_H-M_alt 'P 1'
_space_group_IT_number 1
_space_group_name_Hall 'P 1'
loop_
_atom_site_label
_atom_site_type_symbol
_atom_site_fract_x
_atom_site_fract_y
_atom_site_fract_z
_atom_site_occupancy
Mg1 Mg 0.000 0.000 0.000 1
Sc1 Sc 0.500 0.500 0.500 1
Ga1 Ga 0.750 0.750 0.750 1
```

Results
- formation energy from the elements (kJ/mol of atoms) = -33.67
- size of the total moment (μB per formula unit) = 0.00